Record 1
The following is a PBE calculation of crystalline Ba3Te2Cl at its relaxed geometry, from Alexandria via LeMat-Bulk.

It has space group I4/mmm (No. 139), with a = 4.996 Å, b = 4.996 Å, c = 20.246 Å, α = 90.00°, β = 90.00° and γ = 90.00°. The distinct sites, in fractional coordinates, are Ba at (0.000, 0.000, 0.000), Ba at (0.000, 0.000, 0.335), Te at (0.000, 0.000, 0.165) and Cl at (0.000, 0.000, 0.500).

The total DFT energy (no corrections) is -4.11 eV per atom. The formation energy without anion corrections is -1797 meV per atom. Its magnetization is 0.0 Bohr magnetons per cell.



Record 2
The following is a PBE calculation of crystalline BaY2TeCl at its relaxed geometry, from Alexandria via LeMat-Bulk.

It has space group P4/mmm (No. 123), with a = 5.151 Å, b = 5.151 Å, c = 7.024 Å, α = 90.00°, β = 90.00° and γ = 90.00°. The distinct sites, in fractional coordinates, are Ba at (0.000, 0.000, 0.000), Y at (0.000, 0.500, 0.500), Te at (0.500, 0.500, 0.000) and Cl at (0.500, 0.500, 0.500).

The total DFT energy (no corrections) is -4.61 eV per atom. The formation energy without anion corrections is -642 meV per atom. Its magnetization is 2.0 Bohr magnetons per cell.



Record 3
The following is a PBE calculation of crystalline Ba2ThCl8 at its relaxed geometry, from Alexandria via LeMat-Bulk.

It has space group Cm (No. 8), with a = 8.126 Å, b = 19.389 Å, c = 5.145 Å, α = 90.00°, β = 124.79° and γ = 90.00°. The distinct sites, in fractional coordinates, are Ba at (0.000, 0.171, 0.000), Th at (0.468, 0.000, 0.059), Cl at (0.127, 0.500, 0.695), Cl at (0.145, 0.000, 0.100), Cl at (0.265, 0.401, 0.312), Cl at (0.272, 0.117, 0.745) and Cl at (0.481, 0.231, 0.476).

The total DFT energy (no corrections) is -4.69 eV per atom. The formation energy without anion corrections is -2318 meV per atom. Its magnetization is 0.0 Bohr magnetons per cell.